KAgPdPb2 | Alexandria | PBE-GGA | relaxed; E_tot = -0.1156 hartree per atom; Fermi-level density of states = 2.65 states/eV/f.u.; size of the total moment = 0.0 μB per formula unit; DFT formation energy = 166 meV per atom
1.0
5.297 0.000 0.000
0.000 5.894 0.000
0.000 0.000 5.297
Pb K Pd Ag
2 1 1 1
direct
0.000 0.000 0.500 Pb
0.500 0.000 0.000 Pb
0.000 0.500 0.000 K
0.000 0.000 0.000 Pd
0.500 0.500 0.500 Ag